Record 1
Crystalline Sc4CoBr5 at its relaxed geometry, computed with PBE.

Summary:
ΔE_f (raw)   -1242.9 meV per atom
Magnetization   0.0 μB/cell
N(E_F)   0.705 states/eV per atom

Unit cell a=3.702 b=8.156 c=8.878 alpha=102.89 beta=102.03 gamma=90.00
Fractional coordinates of all 10 atoms:
Br1 0.834 0.673 0.668
Sc1 0.637 0.071 0.273
Br2 0.829 0.158 0.658
Br3 0.166 0.327 0.332
Co1 0.500 0.000 0.000
Sc2 0.363 0.929 0.727
Br4 0.500 0.500 0.000
Br5 0.171 0.842 0.342
Sc3 0.999 0.783 0.999
Sc4 0.001 0.217 0.001


Record 2
Crystalline CrHg2P at its relaxed geometry, computed with PBE.

Summary:
ΔH_f (0 K)   0.41 eV/atom
Magnetization   7.6 μB/cell
N(E_F)   0.550 states/eV per atom

Unit cell a=8.991 b=8.991 c=6.776 alpha=48.44 beta=48.44 gamma=90.00
Last column: magnetic moment on the atom in μB.
Fractional coordinates of all 8 atoms:
P1 0.250 0.750 0.500  -0.15
Cr1 0.750 0.250 0.500  3.59
P2 0.500 0.500 0.000  -0.15
Hg1 0.217 0.625 0.250  -0.01
Hg2 0.375 0.467 0.750  -0.01
Cr2 0.000 0.000 0.000  3.60
Hg3 0.875 0.783 0.750  -0.02
Hg4 0.533 0.125 0.250  -0.01


Record 3
Crystalline Ac3Si2AsPd9 at its relaxed geometry, computed with PBE.

Summary:
ΔE_f (raw)   -729.0 meV per atom
Magnetization   0.0 μB/cell
N(E_F)   0.402 states/eV per atom

Unit cell a=6.604 b=6.604 c=8.559 alpha=90.00 beta=90.00 gamma=120.00
Fractional coordinates of all 15 atoms:
As1 0.000 0.000 0.500
Pd1 0.300 0.150 0.708
Pd2 0.150 0.850 0.292
Si1 0.667 0.333 0.824
Pd3 0.150 0.300 0.292
Ac1 0.333 0.667 0.660
Pd4 0.850 0.700 0.708
Pd5 0.700 0.850 0.292
Ac2 0.000 0.000 0.000
Pd6 0.850 0.150 0.708
Pd7 0.500 0.000 0.000
Pd8 0.500 0.500 0.000
Pd9 0.000 0.500 0.000
Ac3 0.667 0.333 0.340
Si2 0.333 0.667 0.176


Record 4
Crystalline Sn2Ge2C at its relaxed geometry, computed with PBE.

Summary:
ΔH_f (0 K)   0.98 eV/atom
Magnetization   0.0 μB/cell
N(E_F)   0.582 states/eV per atom
ΔE to the lowest computed polymorph   0.00 eV per formula unit

Unit cell a=6.173 b=6.173 c=5.667 alpha=90.00 beta=90.00 gamma=90.00
Fractional coordinates of all 10 atoms:
Sn1 0.833 0.667 0.000
Sn2 0.167 0.333 0.000
Ge1 0.228 0.272 0.500
Sn3 0.667 0.167 0.000
Sn4 0.333 0.833 0.000
Ge2 0.772 0.728 0.500
C1 0.500 0.500 0.000
Ge3 0.728 0.228 0.500
Ge4 0.272 0.772 0.500
C2 0.000 0.000 0.000


Record 5
Crystalline VFeRh2 at its relaxed geometry, computed with PBE.

Summary:
ΔH_f (0 K)   0.26 eV/atom
Magnetization   3.2 μB/cell
N(E_F)   1.073 states/eV per atom

Unit cell a=3.743 b=3.743 c=8.816 alpha=77.74 beta=77.74 gamma=90.00
Last column: magnetic moment on the atom in μB.
Fractional coordinates of all 8 atoms:
V1 0.250 0.750 0.500  -1.09
Rh1 0.875 0.880 0.750  0.21
Rh2 0.375 0.370 0.750  0.21
Rh3 0.630 0.125 0.250  0.21
Fe1 0.000 0.000 0.000  2.37
Fe2 0.750 0.250 0.500  2.37
Rh4 0.120 0.625 0.250  0.21
V2 0.500 0.500 0.000  -1.09


Record 6
Crystalline KMo2Cl at its relaxed geometry, computed with PBE.

Summary:
ΔE_f (raw)   77.6 meV per atom
Magnetization   0.0 μB/cell
N(E_F)   0.395 states/eV per atom
ΔE to the lowest computed polymorph   0.00 eV per formula unit

Unit cell a=3.197 b=3.337 c=8.496 alpha=81.66 beta=90.00 gamma=90.00
Fractional coordinates of all 4 atoms:
Mo1 0.000 0.055 0.076
Cl1 0.000 0.305 0.481
Mo2 0.500 0.423 0.221
K1 0.500 0.716 0.722


Record 7
Crystalline CoHgPt at its relaxed geometry, computed with PBE.

Summary:
ΔH_f (0 K)   0.27 eV/atom
Magnetization   2.0 μB/cell
N(E_F)   1.474 states/eV per atom
ΔE to the lowest computed polymorph   0.34 eV per formula unit

Unit cell a=4.438 b=4.438 c=2.851 alpha=90.00 beta=90.00 gamma=120.00
Last column: magnetic moment on the atom in μB.
Fractional coordinates of all 3 atoms:
Pt1 0.333 0.667 0.834  0.24
Co1 0.000 0.000 0.833  1.81
Hg1 0.667 0.333 0.333  -0.02


Record 8
Crystalline Tb6PmSm2Y3 at its relaxed geometry, computed with PBE.

Summary:
ΔH_f (0 K)   0.02 eV/atom
Magnetization   0.0 μB/cell
N(E_F)   1.361 states/eV per atom

Unit cell a=6.205 b=6.205 c=11.875 alpha=94.97 beta=94.97 gamma=119.97
Fractional coordinates of all 12 atoms:
Tb1 0.084 0.418 0.252
Sm1 0.333 0.667 0.000
Pm1 0.000 0.000 0.000
Tb2 0.418 0.084 0.252
Tb3 0.582 0.916 0.748
Y1 0.833 0.167 0.500
Y2 0.167 0.833 0.500
Tb4 0.916 0.582 0.748
Y3 0.500 0.500 0.500
Tb5 0.751 0.751 0.252
Sm2 0.667 0.333 0.000
Tb6 0.249 0.249 0.748


Q: magnetization of number 5 (VFeRh2)?
A: 3.2 μB/cell


Q: Which of these has the highest N(E_F)?
A: CoHgPt


Q: Among the records above, which one has the lowest N(E_F)?
A: KMo2Cl


Q: Among the records above, which one has the highest N(E_F)?
A: CoHgPt